Material: LiZrPtO4
Method: DFT, GGA-PBE
State: relaxed

Output
As for the space group: No. 74. The value obtained for the energy relative to the elements, uncorrected is -1859.2 meV/atom. The calculation puts the calculated volume at 182.8 Å³ per cell. Its total energy is -7.050 eV/atom. For the total moment, the calculation gives 2.0 Bohr magnetons per cell. For the density of states at the Fermi level, the calculation gives 0.2 states/eV/f.u.

Lattice parameters (Å, degrees): 6.208 6.409 6.390 119.90 90.00 118.97
Last column: magnetic moment on the atom in μB.
Atoms (fractional coordinates):
Li 0.873 0.746 0.123  0.00
Li 0.127 0.254 0.877  0.00
Zr 0.500 0.000 0.500  -0.02
Zr 0.500 0.000 0.000  -0.02
Pt 0.500 0.500 0.500  0.57
Pt 0.000 0.500 0.500  0.57
O 0.737 0.473 0.702  0.03
O 0.259 0.963 0.231  0.16
O 0.704 0.963 0.231  0.16
O 0.737 0.473 0.272  0.03
O 0.263 0.527 0.728  0.03
O 0.741 0.037 0.769  0.16
O 0.296 0.037 0.769  0.16
O 0.263 0.527 0.298  0.03

Material: Li2ZrPtO
Method: DFT, GGA-PBE
State: relaxed

Output
As for the space group: No. 123. The value obtained for the energy relative to the elements, uncorrected is -1398.3 meV/atom. The calculation puts the calculated volume at 69.1 Å³ per cell. Its total energy is -6.073 eV/atom. For the total moment, the calculation gives 0.0 Bohr magnetons per cell. For the density of states at the Fermi level, the calculation gives 2.2 states/eV/f.u.

Lattice parameters (Å, degrees): 3.972 3.972 4.378 90.00 90.00 90.00
Atoms (fractional coordinates):
O 0.000 0.000 0.000
Zr 0.000 0.000 0.500
Pt 0.500 0.500 0.500
Li 0.000 0.500 0.000
Li 0.500 0.000 0.000

Material: Li2PuO6
Method: DFT, GGA-PBE
State: relaxed

Output
As for the space group: No. 15. The value obtained for the energy relative to the elements, uncorrected is -1766.3 meV/atom. The calculation puts the calculated volume at 271.8 Å³ per cell. Its total energy is -7.089 eV/atom. For the total moment, the calculation gives 4.7 Bohr magnetons per cell. For the density of states at the Fermi level, the calculation gives 3.5 states/eV/f.u.

Lattice parameters (Å, degrees): 5.910 8.637 8.637 71.96 51.97 51.97
Last column: magnetic moment on the atom in μB.
Atoms (fractional coordinates):
Li 0.597 0.422 0.223  0.00
Li 0.903 0.777 0.578  0.00
Li 0.403 0.578 0.777  0.00
Li 0.097 0.223 0.422  0.00
Pu 0.250 0.911 0.089  1.53
Pu 0.750 0.089 0.911  1.53
O 0.636 0.418 0.438  0.47
O 0.864 0.562 0.582  0.47
O 0.364 0.582 0.562  0.47
O 0.136 0.438 0.418  0.47
O 0.088 0.091 0.654  -0.09
O 0.412 0.346 0.909  -0.09
O 0.912 0.909 0.346  -0.09
O 0.588 0.654 0.091  -0.09
O 0.890 0.166 0.071  -0.07
O 0.610 0.929 0.834  -0.07
O 0.110 0.834 0.929  -0.07
O 0.390 0.071 0.166  -0.07

Material: Li6PuO8
Method: DFT, GGA-PBE
State: relaxed

Output
As for the space group: No. 148. The value obtained for the energy relative to the elements, uncorrected is -1915.4 meV/atom. The calculation puts the calculated volume at 148.5 Å³ per cell. Its total energy is -6.281 eV/atom. For the total moment, the calculation gives 2.0 Bohr magnetons per cell. For the density of states at the Fermi level, the calculation gives 6.4 states/eV/f.u.

Lattice parameters (Å, degrees): 5.350 5.350 5.350 97.76 97.76 97.76
Last column: magnetic moment on the atom in μB.
Atoms (fractional coordinates):
Li 0.579 0.302 0.102  0.00
Li 0.102 0.579 0.302  0.00
Li 0.302 0.102 0.579  0.00
Li 0.421 0.698 0.898  0.00
Li 0.898 0.421 0.698  0.00
Li 0.698 0.898 0.421  0.00
Pu 0.000 0.000 0.000  1.39
O 0.415 0.415 0.415  0.37
O 0.585 0.585 0.585  0.37
O 0.209 0.309 0.907  -0.04
O 0.907 0.209 0.309  -0.04
O 0.309 0.907 0.209  -0.04
O 0.791 0.691 0.093  -0.04
O 0.093 0.791 0.691  -0.04
O 0.691 0.093 0.791  -0.04

Material: Li3PuO3
Method: DFT, GGA-PBE
State: relaxed

Output
As for the space group: No. 64. The value obtained for the energy relative to the elements, uncorrected is -2034.1 meV/atom. The calculation puts the calculated volume at 436.3 Å³ per cell. Its total energy is -7.027 eV/atom. For the total moment, the calculation gives 20.0 Bohr magnetons per cell. For the density of states at the Fermi level, the calculation gives 6.9 states/eV/f.u. For the distance to the lowest polymorph of the same formula, the calculation gives 133 meV per atom.

Lattice parameters (Å, degrees): 10.373 8.148 6.693 90.00 90.00 129.54
Last column: magnetic moment on the atom in μB.
Atoms (fractional coordinates):
Li 0.721 0.000 0.838  0.00
Li 0.779 0.000 0.338  0.00
Li 0.221 0.000 0.662  0.00
Li 0.279 0.000 0.162  0.00
Li 0.020 0.624 0.382  0.01
Li 0.480 0.376 0.882  0.01
Li 0.896 0.376 0.118  0.01
Li 0.604 0.624 0.618  0.01
Li 0.980 0.376 0.618  0.01
Li 0.520 0.624 0.118  0.01
Li 0.104 0.624 0.882  0.01
Li 0.396 0.376 0.382  0.01
Pu 0.370 0.740 0.500  4.76
Pu 0.130 0.260 0.000  4.76
Pu 0.630 0.260 0.500  4.76
Pu 0.870 0.740 0.000  4.76
O 0.058 0.000 0.812  -0.09
O 0.442 0.000 0.312  -0.09
O 0.558 0.000 0.688  -0.09
O 0.942 0.000 0.188  -0.09
O 0.549 0.702 0.388  -0.05
O 0.951 0.298 0.888  -0.05
O 0.347 0.298 0.112  -0.05
O 0.153 0.702 0.612  -0.05
O 0.451 0.298 0.612  -0.05
O 0.049 0.702 0.112  -0.05
O 0.653 0.702 0.888  -0.05
O 0.847 0.298 0.388  -0.05

Material: Li3PuO4
Method: DFT, GGA-PBE
State: relaxed

Output
As for the space group: No. 139. The value obtained for the energy relative to the elements, uncorrected is -2400.6 meV/atom. The calculation puts the calculated volume at 167.9 Å³ per cell. Its total energy is -7.389 eV/atom. For the total moment, the calculation gives 6.0 Bohr magnetons per cell. For the density of states at the Fermi level, the calculation gives 3.6 states/eV/f.u.

Lattice parameters (Å, degrees): 4.452 8.472 4.452 90.00 90.00 90.00
Last column: magnetic moment on the atom in μB.
Atoms (fractional coordinates):
Pu 0.936 0.000 0.750  3.31
Pu 0.436 0.500 0.250  3.31
O 0.936 0.000 0.250  -0.07
O 0.436 0.000 0.750  -0.07
O 0.936 0.766 0.750  -0.10
O 0.436 0.734 0.250  -0.10
O 0.936 0.500 0.250  -0.07
O 0.436 0.500 0.750  -0.07
O 0.436 0.266 0.250  -0.10
O 0.936 0.234 0.750  -0.10
Li 0.436 0.000 0.250  0.00
Li 0.936 0.750 0.250  0.00
Li 0.436 0.750 0.750  0.00
Li 0.936 0.500 0.750  0.00
Li 0.436 0.250 0.750  0.00
Li 0.936 0.250 0.250  0.00

Material: LiPu2O6
Method: DFT, GGA-PBE
State: relaxed

Output
As for the space group: No. 58. The value obtained for the energy relative to the elements, uncorrected is -2514.7 meV/atom. The calculation puts the calculated volume at 260.3 Å³ per cell. Its total energy is -9.218 eV/atom. For the total moment, the calculation gives 10.0 Bohr magnetons per cell. For the density of states at the Fermi level, the calculation gives 6.5 states/eV/f.u.

Lattice parameters (Å, degrees): 5.173 5.341 9.422 90.03 90.00 90.00
Last column: magnetic moment on the atom in μB.
Atoms (fractional coordinates):
Li 0.500 0.500 0.000  0.00
Li 0.000 0.000 0.500  0.00
Pu 0.501 0.000 0.179  2.99
Pu 0.001 0.500 0.321  2.99
Pu 0.999 0.500 0.679  2.99
Pu 0.499 0.000 0.821  2.99
O 0.219 0.197 0.676  -0.15
O 0.221 0.197 0.324  -0.15
O 0.317 0.162 0.000  -0.17
O 0.817 0.338 0.500  -0.17
O 0.721 0.303 0.176  -0.15
O 0.719 0.303 0.824  -0.15
O 0.781 0.803 0.324  -0.15
O 0.779 0.803 0.676  -0.15
O 0.683 0.838 0.000  -0.17
O 0.183 0.662 0.500  -0.17
O 0.279 0.697 0.824  -0.15
O 0.281 0.697 0.176  -0.15

Material: LiPuO4
Method: DFT, GGA-PBE
State: relaxed

Output
As for the space group: No. 14. The value obtained for the energy relative to the elements, uncorrected is -2261.5 meV/atom. The calculation puts the calculated volume at 161.2 Å³ per cell. Its total energy is -8.275 eV/atom. For the total moment, the calculation gives 2.0 Bohr magnetons per cell. For the density of states at the Fermi level, the calculation gives 0.4 states/eV/f.u. For the distance to the lowest polymorph of the same formula, the calculation gives 0 meV per atom.

Lattice parameters (Å, degrees): 5.187 6.015 5.817 117.37 90.00 90.00
Last column: magnetic moment on the atom in μB.
Atoms (fractional coordinates):
Li 0.000 0.500 0.500  0.00
Li 0.500 0.000 0.500  0.00
Pu 0.500 0.500 0.000  1.34
Pu 0.000 0.000 0.000  1.34
O 0.310 0.819 0.147  -0.08
O 0.190 0.319 0.147  -0.08
O 0.671 0.621 0.312  -0.07
O 0.171 0.879 0.688  -0.07
O 0.829 0.121 0.312  -0.07
O 0.329 0.379 0.688  -0.07
O 0.810 0.681 0.853  -0.08
O 0.690 0.181 0.853  -0.08